# 1
VASP calculation (GGA-PBE) on a relaxed Sc2InIO8 crystal.

## Properties
The magnetic moment comes out at 0.00 μB per atom. Its space group is No. 65. Its formation energy without anion corrections is -1.893 eV per atom.

CIF file:
```
data_Sc2InIO8
_symmetry_space_group_name_H-M 'P 1'
_symmetry_Int_Tables_number 1
_symmetry_space_group_name_Hall 'P 1'
_cell_length_a 4.809
_cell_length_b 4.809
_cell_length_c 6.501
_cell_angle_alpha 90.00
_cell_angle_beta 90.00
_cell_angle_gamma 91.78
loop_
_atom_site_label
_atom_site_fract_x
_atom_site_fract_y
_atom_site_fract_z
Sc1 0.000 0.000 0.243
Sc2 0.000 0.000 0.757
In1 0.500 0.500 0.000
I1 0.500 0.500 0.500
O1 0.190 0.190 0.000
O2 0.216 0.216 0.500
O3 0.312 0.688 0.284
O4 0.312 0.688 0.716
O5 0.688 0.312 0.284
O6 0.688 0.312 0.716
O7 0.784 0.784 0.500
O8 0.810 0.810 0.000
```

# 2
VASP calculation (GGA-PBE) on a relaxed InSeIO2 crystal.

## Properties
The magnetic moment comes out at 0.00 μB per atom. Its space group is No. 123. Its density of states at the Fermi level is 2.68 states/eV/f.u. The calculation puts the energy relative to the lowest polymorph listed for this composition at 137 meV/atom. Its formation energy without anion corrections is 0.084 eV per atom.

CIF file:
```
data_InSeIO2
_symmetry_space_group_name_H-M 'P 1'
_symmetry_Int_Tables_number 1
_symmetry_space_group_name_Hall 'P 1'
_cell_length_a 4.155
_cell_length_b 4.155
_cell_length_c 5.796
_cell_angle_alpha 90.00
_cell_angle_beta 90.00
_cell_angle_gamma 90.00
loop_
_atom_site_label
_atom_site_fract_x
_atom_site_fract_y
_atom_site_fract_z
In1 0.000 0.000 0.000
Se1 0.500 0.500 0.500
I1 0.500 0.500 0.000
O1 0.000 0.500 0.500
O2 0.500 0.000 0.500
```

# 3
VASP calculation (GGA-PBE) on a relaxed InSeIO2 crystal.

## Properties
The magnetic moment comes out at 0.00 μB per atom. Its space group is No. 123. Its density of states at the Fermi level is 6.89 states/eV/f.u. The calculation puts the energy relative to the lowest polymorph listed for this composition at 0 meV/atom. Its formation energy without anion corrections is -0.053 eV per atom.

CIF file:
```
data_InSeIO2
_symmetry_space_group_name_H-M 'P 1'
_symmetry_Int_Tables_number 1
_symmetry_space_group_name_Hall 'P 1'
_cell_length_a 4.122
_cell_length_b 4.122
_cell_length_c 6.822
_cell_angle_alpha 90.00
_cell_angle_beta 90.00
_cell_angle_gamma 90.00
loop_
_atom_site_label
_atom_site_fract_x
_atom_site_fract_y
_atom_site_fract_z
In1 0.000 0.000 0.000
Se1 0.500 0.500 0.500
I1 0.000 0.000 0.500
O1 0.000 0.500 0.000
O2 0.500 0.000 0.000
```

# 4
VASP calculation (GGA-PBE) on a relaxed InSnI2O crystal.

## Properties
The magnetic moment comes out at 0.00 μB per atom. Its space group is No. 123. Its density of states at the Fermi level is 1.04 states/eV/f.u. The calculation puts the energy relative to the lowest polymorph listed for this composition at 0 meV/atom. Its formation energy without anion corrections is -0.528 eV per atom.

CIF file:
```
data_InSnI2O
_symmetry_space_group_name_H-M 'P 1'
_symmetry_Int_Tables_number 1
_symmetry_space_group_name_Hall 'P 1'
_cell_length_a 6.302
_cell_length_b 6.302
_cell_length_c 4.098
_cell_angle_alpha 90.00
_cell_angle_beta 90.00
_cell_angle_gamma 90.00
loop_
_atom_site_label
_atom_site_fract_x
_atom_site_fract_y
_atom_site_fract_z
In1 0.000 0.000 0.000
Sn1 0.500 0.500 0.500
I1 0.000 0.500 0.500
I2 0.500 0.000 0.500
O1 0.500 0.500 0.000
```

# 5
VASP calculation (GGA-PBE) on a relaxed InSnI2O crystal.

## Properties
The magnetic moment comes out at 0.00 μB per atom. Its space group is No. 123. Its density of states at the Fermi level is 2.98 states/eV/f.u. The calculation puts the energy relative to the lowest polymorph listed for this composition at 202 meV/atom. Its formation energy without anion corrections is -0.326 eV per atom.

CIF file:
```
data_InSnI2O
_symmetry_space_group_name_H-M 'P 1'
_symmetry_Int_Tables_number 1
_symmetry_space_group_name_Hall 'P 1'
_cell_length_a 6.230
_cell_length_b 6.230
_cell_length_c 4.049
_cell_angle_alpha 90.00
_cell_angle_beta 90.00
_cell_angle_gamma 90.00
loop_
_atom_site_label
_atom_site_fract_x
_atom_site_fract_y
_atom_site_fract_z
In1 0.000 0.000 0.000
Sn1 0.500 0.500 0.500
I1 0.000 0.500 0.000
I2 0.500 0.000 0.000
O1 0.000 0.000 0.500
```

# 6
VASP calculation (GGA-PBE) on a relaxed SrInIO6 crystal.

## Properties
The magnetic moment comes out at 0.00 μB per atom. Its space group is No. 163. Its density of states at the Fermi level is 0.00 states/eV/f.u. Its formation energy without anion corrections is -1.373 eV per atom.

CIF file:
```
data_SrInIO6
_symmetry_space_group_name_H-M 'P 1'
_symmetry_Int_Tables_number 1
_symmetry_space_group_name_Hall 'P 1'
_cell_length_a 5.477
_cell_length_b 5.477
_cell_length_c 10.606
_cell_angle_alpha 90.00
_cell_angle_beta 90.00
_cell_angle_gamma 120.00
loop_
_atom_site_label
_atom_site_fract_x
_atom_site_fract_y
_atom_site_fract_z
Sr1 0.000 0.000 0.000
Sr2 0.000 0.000 0.500
In1 0.333 0.667 0.250
In2 0.667 0.333 0.750
I1 0.333 0.667 0.750
I2 0.667 0.333 0.250
O1 0.038 0.392 0.646
O2 0.038 0.647 0.854
O3 0.353 0.392 0.854
O4 0.353 0.962 0.646
O5 0.392 0.038 0.146
O6 0.392 0.353 0.354
O7 0.608 0.647 0.646
O8 0.608 0.962 0.854
O9 0.647 0.038 0.354
O10 0.647 0.608 0.146
O11 0.962 0.353 0.146
O12 0.962 0.608 0.354
```

# 7
VASP calculation (GGA-PBE) on a relaxed TaInIO2 crystal.

## Properties
The magnetic moment comes out at 0.06 μB per atom. Its space group is No. 123. Its density of states at the Fermi level is 2.27 states/eV/f.u. The calculation puts the energy relative to the lowest polymorph listed for this composition at 0 meV/atom. Its formation energy without anion corrections is -1.047 eV per atom.

CIF file:
```
data_TaInIO2
_symmetry_space_group_name_H-M 'P 1'
_symmetry_Int_Tables_number 1
_symmetry_space_group_name_Hall 'P 1'
_cell_length_a 4.155
_cell_length_b 4.155
_cell_length_c 5.908
_cell_angle_alpha 90.00
_cell_angle_beta 90.00
_cell_angle_gamma 90.00
loop_
_atom_site_label
_atom_site_fract_x
_atom_site_fract_y
_atom_site_fract_z
Ta1 0.000 0.000 0.000
In1 0.500 0.500 0.500
I1 0.000 0.000 0.500
O1 0.000 0.500 0.000
O2 0.500 0.000 0.000
```

# 8
VASP calculation (GGA-PBE) on a relaxed TaInIO2 crystal.

## Properties
The magnetic moment comes out at 0.56 μB per atom. Its space group is No. 123. Its density of states at the Fermi level is 5.66 states/eV/f.u. The calculation puts the energy relative to the lowest polymorph listed for this composition at 1534 meV/atom. Its formation energy without anion corrections is 0.487 eV per atom.

CIF file:
```
data_TaInIO2
_symmetry_space_group_name_H-M 'P 1'
_symmetry_Int_Tables_number 1
_symmetry_space_group_name_Hall 'P 1'
_cell_length_a 4.270
_cell_length_b 4.270
_cell_length_c 5.643
_cell_angle_alpha 90.00
_cell_angle_beta 90.00
_cell_angle_gamma 90.00
loop_
_atom_site_label
_atom_site_fract_x
_atom_site_fract_y
_atom_site_fract_z
Ta1 0.000 0.000 0.000
In1 0.500 0.500 0.500
I1 0.500 0.500 0.000
O1 0.000 0.500 0.500
O2 0.500 0.000 0.500
```

| no. | calculated total energy (eV for the cell shown) |
| --- | --- |
| 1 | -79.335 |
| 2 | -17.270 |
| 3 | -17.954 |
| 4 | -17.440 |
| 5 | -16.428 |
| 6 | -96.154 |
| 7 | -31.291 |
| 8 | -23.623 |